# 1
This record from Alexandria describes a relaxed structure of K2MnFe. The functional is PBE.

Unit cell a=4.6351 b=4.6351 c=10.9351 alpha=90.00 beta=90.00 gamma=90.00
Last column: nearest neighbours and their distance in Å.
Space group I4/mmm (No. 139)
Asymmetric unit:
K (0.0000, 0.5000, 0.2500)  4 K 3.28, 4 Mn 3.58, 4 Fe 3.58
Mn (0.0000, 0.0000, 0.0000)  4 Fe 3.28, 8 K 3.58
Fe (0.0000, 0.0000, 0.5000)  4 Mn 3.28, 8 K 3.58

Properties
The calculation puts the total energy at -3.681 eV/atom. For the energy relative to the elements, the calculation gives 1.2760 eV/atom. Its excess energy over the best structure of this formula in the dataset is 495.2 meV/atom.

---

# 2
This record from Alexandria describes a relaxed structure of KMnFe2. The functional is PBE.

Unit cell a=4.7289 b=4.7289 c=18.1330 alpha=90.00 beta=90.00 gamma=90.00
Last column: nearest neighbours and their distance in Å.
Space group I4_1/amd (No. 141, origin choice 2)
Asymmetric unit:
K (0.0000, 0.2500, 0.3750)  4 Mn 3.34, 8 Fe 3.48
Mn (0.0000, 0.2500, 0.8750)  4 Fe 2.56
Fe (0.0000, 0.0000, 0.0000)  2 Fe 2.36, 2 Mn 2.56

Properties
The calculation puts the total energy at -5.546 eV/atom. For the energy relative to the elements, the calculation gives 1.2524 eV/atom. Its excess energy over the best structure of this formula in the dataset is 572.2 meV/atom.

---

# 3
This record from Alexandria describes a relaxed structure of KMnFe2. The functional is PBE.

Unit cell a=6.0491 b=6.0491 c=6.0491 alpha=90.00 beta=90.00 gamma=90.00
Last column: nearest neighbours and their distance in Å.
Space group Fm-3m (No. 225)
Asymmetric unit:
K (0.0000, 0.0000, 0.0000)  8 Fe 2.62
Mn (0.0000, 0.0000, 0.5000)  8 Fe 2.62
Fe (0.2500, 0.2500, 0.2500)  4 K 2.62, 4 Mn 2.62

Properties
The calculation puts the total energy at -5.022 eV/atom. For the energy relative to the elements, the calculation gives 1.7765 eV/atom. Its excess energy over the best structure of this formula in the dataset is 1096.3 meV/atom.

---

# 4
This record from Alexandria describes a relaxed structure of KMnFe2. The functional is PBE.

Unit cell a=6.5487 b=6.5487 c=6.5487 alpha=90.00 beta=90.00 gamma=90.00
Last column: nearest neighbours and their distance in Å.
Space group F-43m (No. 216)
Asymmetric unit:
K (0.0000, 0.0000, 0.0000)  4 Mn 2.84, 4 Fe 2.84
Mn (0.2500, 0.2500, 0.2500)  4 Fe 2.84, 4 K 2.84
Fe (0.0000, 0.0000, 0.5000)  4 Mn 2.84, 4 Fe 2.84
Fe (0.2500, 0.2500, 0.7500)  4 Fe 2.84, 4 K 2.84

Properties
The calculation puts the total energy at -5.463 eV/atom. For the energy relative to the elements, the calculation gives 1.3355 eV/atom. Its excess energy over the best structure of this formula in the dataset is 655.3 meV/atom.

---

# 5
This record from Alexandria describes a relaxed structure of KMnFe2. The functional is PBE.

Unit cell a=2.6706 b=2.6706 c=29.3273 alpha=90.00 beta=90.00 gamma=120.00
Last column: nearest neighbours and their distance in Å.
Space group R-3m (No. 166, hexagonal axes)
Asymmetric unit:
K (0.0000, 0.0000, 0.0000)  6 K 2.67
Mn (0.0000, 0.0000, 0.5000)  6 Fe 2.50, 6 Mn 2.67
Fe (0.0000, 0.0000, 0.2338)  3 Mn 2.50, 6 Fe 2.67

Properties
The calculation puts the total energy at -5.879 eV/atom. For the energy relative to the elements, the calculation gives 0.9195 eV/atom. Its excess energy over the best structure of this formula in the dataset is 239.3 meV/atom.

---

# 6
This record from Alexandria describes a relaxed structure of KMnFe2. The functional is PBE.

Unit cell a=5.6086 b=9.0842 c=2.6478 alpha=90.00 beta=90.00 gamma=90.00
Last column: nearest neighbours and their distance in Å.
Space group Cmmm (No. 65)
Asymmetric unit:
K (0.0000, 0.0000, 0.0000)  2 K 2.65, 2 Mn 2.80
Mn (0.0000, 0.5000, 0.0000)  2 Mn 2.65, 2 K 2.80
Fe (0.2500, 0.2500, 0.5000)  4 Fe 2.65-2.80

Properties
The calculation puts the total energy at -5.592 eV/atom. For the energy relative to the elements, the calculation gives 1.2060 eV/atom. Its excess energy over the best structure of this formula in the dataset is 525.8 meV/atom.

---

# 7
This record from Alexandria describes a relaxed structure of KMnFe2. The functional is PBE.

Unit cell a=4.0854 b=4.0854 c=4.1961 alpha=90.00 beta=90.00 gamma=90.00
Last column: nearest neighbours and their distance in Å.
Space group P4/mmm (No. 123)
Asymmetric unit:
K (0.0000, 0.0000, 0.0000)  4 Mn 2.89, 8 Fe 2.93
Mn (0.5000, 0.5000, 0.0000)  4 K 2.89, 8 Fe 2.93
Fe (0.0000, 0.5000, 0.5000)  4 Fe 2.89, 4 Mn 2.93, 4 K 2.93

Properties
The calculation puts the total energy at -5.458 eV/atom. For the energy relative to the elements, the calculation gives 1.3399 eV/atom. Its excess energy over the best structure of this formula in the dataset is 659.6 meV/atom.

---

# 8
This record from Alexandria describes a relaxed structure of K2MnFe. The functional is PBE.

Unit cell a=12.3281 b=12.3281 c=4.3418 alpha=90.00 beta=90.00 gamma=90.00
Last column: nearest neighbours and their distance in Å.
Space group I-42d (No. 122)
Asymmetric unit:
K (0.0720, 0.2500, 0.1250)  2 Fe 3.25, 2 Mn 3.60
Mn (0.0000, 0.0000, 0.5000)  2 Fe 2.17
Fe (0.0000, 0.0000, 0.0000)  2 Mn 2.17

Properties
The calculation puts the total energy at -3.846 eV/atom. For the energy relative to the elements, the calculation gives 1.1108 eV/atom. Its excess energy over the best structure of this formula in the dataset is 330.0 meV/atom.

---

# 9
This record from Alexandria describes a relaxed structure of K2MnFe. The functional is PBE.

Unit cell a=4.6330 b=4.6330 c=5.4703 alpha=90.00 beta=90.00 gamma=90.00
Last column: nearest neighbours and their distance in Å.
Space group P4/mmm (No. 123)
Asymmetric unit:
K (0.0000, 0.5000, 0.0000)  4 K 3.28, 4 Mn 3.58, 4 Fe 3.58
Mn (0.0000, 0.0000, 0.5000)  4 Fe 3.28, 8 K 3.58
Fe (0.5000, 0.5000, 0.5000)  4 Mn 3.28, 8 K 3.58

Properties
The calculation puts the total energy at -3.683 eV/atom. For the energy relative to the elements, the calculation gives 1.2739 eV/atom. Its excess energy over the best structure of this formula in the dataset is 493.1 meV/atom.

---

# 10
This record from Alexandria describes a relaxed structure of K2MnFe. The functional is PBE.

Unit cell a=3.3758 b=5.4600 c=6.4305 alpha=90.00 beta=90.00 gamma=90.00
Last column: nearest neighbours and their distance in Å.
Space group Pmmm (No. 47)
Asymmetric unit:
K (0.0000, 0.0000, 0.2433)  4 K 3.13-3.38
Mn (0.5000, 0.5000, 0.5000)  2 Fe 3.22, 2 Mn 3.38
Fe (0.5000, 0.5000, 0.0000)  2 Mn 3.22, 2 Fe 3.38, 8 K 3.57

Properties
The calculation puts the total energy at -3.675 eV/atom. For the energy relative to the elements, the calculation gives 1.2815 eV/atom. Its excess energy over the best structure of this formula in the dataset is 500.7 meV/atom.

---

# 11
This record from Alexandria describes a relaxed structure of K2MnFe. The functional is PBE.

Unit cell a=3.5022 b=3.4757 c=10.1920 alpha=90.00 beta=90.18 gamma=90.00
Last column: nearest neighbours and their distance in Å.
Space group Pm (No. 6)
Asymmetric unit:
K (0.0000, 0.0000, 0.0000)  1 Fe 3.29, 4 K 3.48-3.50
K (0.4902, 0.5000, 0.4090)  1 Mn 3.25, 4 K 3.48-3.50
Mn (0.4961, 0.5000, 0.7278)  4 Fe 2.52
Fe (0.9955, 0.0000, 0.6771)  4 Mn 2.52

Properties
The calculation puts the total energy at -4.176 eV/atom. For the energy relative to the elements, the calculation gives 0.7808 eV/atom. Its excess energy over the best structure of this formula in the dataset is 0.0 meV/atom.

---

# 12
This record from Alexandria describes a relaxed structure of K2MnFe. The functional is PBE.

Unit cell a=3.1848 b=3.1848 c=11.2677 alpha=90.00 beta=90.00 gamma=90.00
Last column: nearest neighbours and their distance in Å.
Space group P4/mmm (No. 123)
Asymmetric unit:
K (0.0000, 0.0000, 0.2360)  4 K 3.18, 4 Fe 3.48
Mn (0.5000, 0.5000, 0.5000)  4 Mn 3.18
Fe (0.5000, 0.5000, 0.0000)  4 Fe 3.18, 8 K 3.48

Properties
The calculation puts the total energy at -3.679 eV/atom. For the energy relative to the elements, the calculation gives 1.2781 eV/atom. Its excess energy over the best structure of this formula in the dataset is 497.3 meV/atom.

---

| no. | density (g cm⁻³) |
| --- | --- |
| 1 | 2.67 |
| 2 | 3.37 |
| 3 | 6.17 |
| 4 | 4.87 |
| 5 | 5.66 |
| 6 | 5.06 |
| 7 | 4.88 |
| 8 | 1.90 |
| 9 | 2.67 |
| 10 | 2.65 |
| 11 | 2.53 |
| 12 | 2.75 |